The following is a DFT calculation (PBE-GGA) of an optimized crystal structure of CaP2OsRh.

Properties
- V (Å³/cell) = 81
- energy of formation from the pure elements (eV per atom) = -0.80
- symmetry = I-4m2, No. 119

Structure (extended XYZ):
```
5
Lattice="4.044 0.000 0.000 0.000 4.044 0.000 -2.022 -2.022 4.953" Properties=species:S:1:pos:R:3 pbc="T T T"
P 2.022 2.022 1.236
Rh 0.000 2.022 2.477
Os 2.022 0.000 2.477
Ca 0.000 0.000 0.000
P 0.000 0.000 3.717
```